First-principles (PBE-GGA) data for a geometry-optimized Si2TeOsSe structure, as listed in Alexandria via LeMat-Bulk.

The value obtained for the total energy is -22.1 eV per cell. The size of the total moment comes out at 0.8 μB/cell.

It has space group P4/mmm (No. 123), with a = 4.9748 Å, b = 4.9748 Å, c = 4.6087 Å, α = 90.00°, β = 90.00° and γ = 90.00°. The asymmetric unit holds Si at (0.0000, 0.5000, 0.0000), Te at (0.0000, 0.0000, 0.5000), Os at (0.5000, 0.5000, 0.5000) and Se at (0.5000, 0.5000, 0.0000).

***

First-principles (PBE-GGA) data for a geometry-optimized Th8SiOs3Se4 structure, as listed in Alexandria via LeMat-Bulk.

The value obtained for the total energy is -385.9 eV per cell. The size of the total moment comes out at 0.0 μB/cell.

It has space group R-3m (No. 166, hexagonal axes), with a = 8.3479 Å, b = 8.3479 Å, c = 21.6985 Å, α = 90.00°, β = 90.00° and γ = 120.00°. The asymmetric unit holds Th at (0.0000, 0.0000, 0.2389), Th at (0.0115, 0.5058, 0.7601), Si at (0.0000, 0.0000, 0.5000), Os at (0.0000, 0.5000, 0.5000), Se at (0.0000, 0.0000, 0.0000) and Se at (0.0000, 0.5000, 0.0000).

***

First-principles (PBE-GGA) data for a geometry-optimized SnOsSe2 structure, as listed in Alexandria via LeMat-Bulk.

The value obtained for the total energy is -85.9 eV per cell. The size of the total moment comes out at 0.0 μB/cell.

It has space group I-42d (No. 122), with a = 7.6666 Å, b = 7.6666 Å, c = 6.2077 Å, α = 90.00°, β = 90.00° and γ = 90.00°. The asymmetric unit holds Sn at (0.0000, 0.0000, 0.0000), Os at (0.0000, 0.0000, 0.5000) and Se at (0.1613, 0.2500, 0.6250).

***

First-principles (PBE-GGA) data for a geometry-optimized Sn3OsSe structure, as listed in Alexandria via LeMat-Bulk.

Its energy above the lowest structure with this stoichiometry is 1447 meV/atom. The size of the total moment comes out at 2.1 μB/cell.

It has space group Pm-3m (No. 221), with a = 5.3226 Å, b = 5.3226 Å, c = 5.3226 Å, α = 90.00°, β = 90.00° and γ = 90.00°. The asymmetric unit holds Sn at (0.0000, 0.0000, 0.5000), Os at (0.5000, 0.5000, 0.5000) and Se at (0.0000, 0.0000, 0.0000).

***

First-principles (PBE-GGA) data for a geometry-optimized SnOs2Se structure, as listed in Alexandria via LeMat-Bulk.

Its energy above the lowest structure with this stoichiometry is 0 meV/atom. The size of the total moment comes out at 0.0 μB/cell.

It has space group Fm-3m (No. 225), with a = 6.4220 Å, b = 6.4220 Å, c = 6.4220 Å, α = 90.00°, β = 90.00° and γ = 90.00°. The asymmetric unit holds Sn at (0.0000, 0.0000, 0.0000), Os at (0.2500, 0.2500, 0.2500) and Se at (0.0000, 0.0000, 0.5000).

***

First-principles (PBE-GGA) data for a geometry-optimized SnOsSe structure, as listed in Alexandria via LeMat-Bulk.

The value obtained for the total energy is -70.8 eV per cell. The size of the total moment comes out at 0.0 μB/cell.

It has space group Amm2 (No. 38), with a = 13.2484 Å, b = 3.4252 Å, c = 5.6543 Å, α = 90.00°, β = 90.00° and γ = 90.00°. The asymmetric unit holds Sn at (0.1501, 0.0000, 0.0000), Os at (0.0000, 0.0000, 0.3418), Os at (0.5000, 0.0000, 0.1035) and Se at (0.3788, 0.0000, 0.4451).

***

First-principles (PBE-GGA) data for a geometry-optimized SnOs3Se structure, as listed in Alexandria via LeMat-Bulk.

Its energy above the lowest structure with this stoichiometry is 1154 meV/atom. The size of the total moment comes out at 4.8 μB/cell.

It has space group Pm-3m (No. 221), with a = 4.9046 Å, b = 4.9046 Å, c = 4.9046 Å, α = 90.00°, β = 90.00° and γ = 90.00°. The asymmetric unit holds Sn at (0.0000, 0.0000, 0.0000), Os at (0.0000, 0.0000, 0.5000) and Se at (0.5000, 0.5000, 0.5000).

***

First-principles (PBE-GGA) data for a geometry-optimized Sn3OsSe structure, as listed in Alexandria via LeMat-Bulk.

Its energy above the lowest structure with this stoichiometry is 0 meV/atom. The size of the total moment comes out at 0.0 μB/cell.

It has space group Pm-3m (No. 221), with a = 5.1261 Å, b = 5.1261 Å, c = 5.1261 Å, α = 90.00°, β = 90.00° and γ = 90.00°. The asymmetric unit holds Sn at (0.0000, 0.0000, 0.5000), Os at (0.0000, 0.0000, 0.0000) and Se at (0.5000, 0.5000, 0.5000).

***

First-principles (PBE-GGA) data for a geometry-optimized SnOs2Se structure, as listed in Alexandria via LeMat-Bulk.

Its energy above the lowest structure with this stoichiometry is 200 meV/atom. The size of the total moment comes out at 0.0 μB/cell.

It has space group I-42d (No. 122), with a = 5.8533 Å, b = 5.8533 Å, c = 10.9135 Å, α = 90.00°, β = 90.00° and γ = 90.00°. The asymmetric unit holds Sn at (0.0000, 0.0000, 0.0000), Os at (0.2117, 0.2500, 0.6250) and Se at (0.0000, 0.0000, 0.5000).

***

First-principles (PBE-GGA) data for a geometry-optimized SnOsSe2 structure, as listed in Alexandria via LeMat-Bulk.

The value obtained for the total energy is -65.5 eV per cell. The size of the total moment comes out at 0.0 μB/cell.

It has space group R-3m (No. 166, hexagonal axes), with a = 3.6841 Å, b = 3.6841 Å, c = 25.5333 Å, α = 90.00°, β = 90.00° and γ = 120.00°. The asymmetric unit holds Sn at (0.0000, 0.0000, 0.0000), Os at (0.0000, 0.0000, 0.5000) and Se at (0.0000, 0.0000, 0.1156).

***

First-principles (PBE-GGA) data for a geometry-optimized SnOsSe2 structure, as listed in Alexandria via LeMat-Bulk.

The value obtained for the total energy is -60.4 eV per cell. The size of the total moment comes out at 0.0 μB/cell.

It has space group R-3m (No. 166, hexagonal axes), with a = 2.9542 Å, b = 2.9542 Å, c = 35.5213 Å, α = 90.00°, β = 90.00° and γ = 120.00°. The asymmetric unit holds Sn at (0.0000, 0.0000, 0.0000), Os at (0.0000, 0.0000, 0.5000) and Se at (0.0000, 0.0000, 0.4330).

***

First-principles (PBE-GGA) data for a geometry-optimized SnOsSe3 structure, as listed in Alexandria via LeMat-Bulk.

Its energy above the lowest structure with this stoichiometry is 0 meV/atom. The size of the total moment comes out at 1.1 μB/cell.

It has space group Pm-3m (No. 221), with a = 4.9445 Å, b = 4.9445 Å, c = 4.9445 Å, α = 90.00°, β = 90.00° and γ = 90.00°. The asymmetric unit holds Sn at (0.0000, 0.0000, 0.0000), Os at (0.5000, 0.5000, 0.5000) and Se at (0.0000, 0.5000, 0.5000).